one | LaTa2Au: relaxed, PBE.

a b c (Å): 3.2526 5.0472 5.2049
angles (deg): 90.00 90.00 90.00
With the nearest neighbours (Å) after each atom.
Space group Pmmm (No. 47)
One atom of each set of equivalent atoms:
La 0.0000 0.0000 0.0000 (multiplicity 1)  4 Au 3.00, 4 Ta 3.07, 2 La 3.25
Ta 0.0000 0.5000 0.5000 (multiplicity 1)  6 Ta 3.00-3.25, 4 Au 3.07
Ta 0.5000 0.0000 0.5000 (multiplicity 1)  6 Ta 3.00-3.25, 4 La 3.07
Au 0.5000 0.5000 0.0000 (multiplicity 1)  4 La 3.00, 4 Ta 3.07, 2 Au 3.25

Properties
Volume, Å³/atom: 21.36
Theoretical density, g/cm3: 13.6
Total magnetic moment, Bohr magnetons per cell: 0.0


two | LaTa2Au: relaxed, PBE.

a b c (Å): 5.8565 10.4124 3.0570
angles (deg): 90.00 114.46 90.00
With the nearest neighbours (Å) after each atom.
Space group C2/m (No. 12)
One atom of each set of equivalent atoms:
La 0.0000 0.0000 0.0000 (multiplicity 2)  4 Au 2.93-3.24, 2 La 3.06, 4 Ta 3.07
Ta 0.2500 0.2500 0.5000 (multiplicity 4)  6 Ta 2.93-3.24, 2 La 3.07, 2 Au 3.07
Au 0.0000 0.5000 0.0000 (multiplicity 2)  4 La 2.93-3.24, 2 Au 3.06, 4 Ta 3.07

Properties
Volume, Å³/atom: 21.21
Theoretical density, g/cm3: 13.7
Total magnetic moment, Bohr magnetons per cell: 0.0


What is the stability order? It is one, two, from most stable to least stable.


one | LaTaAu3: relaxed, PBE.

a b c (Å): 5.1216 5.1216 5.1216
angles (deg): 90.00 90.00 90.00
With the nearest neighbours (Å) after each atom.
Space group Pm-3m (No. 221)
One atom of each set of equivalent atoms:
La 0.0000 0.0000 0.0000 (multiplicity 1)  12 Au 3.62
Ta 0.5000 0.5000 0.5000 (multiplicity 1)  6 Au 2.56
Au 0.0000 0.5000 0.5000 (multiplicity 3)  2 Ta 2.56

Properties
Volume, Å³/atom: 26.87
Theoretical density, g/cm3: 11.3
Total magnetic moment, Bohr magnetons per cell: 0.0


two | LaTaAu3: relaxed, PBE.

a b c (Å): 5.3048 5.3048 5.3048
angles (deg): 90.00 90.00 90.00
With the nearest neighbours (Å) after each atom.
Space group Pm-3m (No. 221)
One atom of each set of equivalent atoms:
La 0.0000 0.0000 0.0000 (multiplicity 1)  6 Au 2.65
Ta 0.5000 0.5000 0.5000 (multiplicity 1)  12 Au 3.75
Au 0.0000 0.0000 0.5000 (multiplicity 3)  2 La 2.65

Properties
Volume, Å³/atom: 29.86
Theoretical density, g/cm3: 10.1
Total magnetic moment, Bohr magnetons per cell: 0.0


What is the stability order? It is one, two, from most stable to least stable.


one | LaTbAu4: relaxed, PBE.

a b c (Å): 5.5612 4.3305 7.0355
angles (deg): 90.00 109.59 90.00
With the nearest neighbours (Å) after each atom.
Space group P2/m (No. 10)
One atom of each set of equivalent atoms:
La 0.0000 0.0000 0.0000 (multiplicity 1)  8 Au 3.04-3.30
Tb 0.5000 0.5000 0.5000 (multiplicity 1)  8 Au 2.99-3.24
Au 0.0665 0.5000 0.7129 (multiplicity 2)  3 Au 2.84-2.89, 1 Tb 3.00, 2 La 3.07
Au 0.4291 0.0000 0.7694 (multiplicity 2)  3 Au 2.89-3.07, 2 Tb 2.99, 1 La 3.04

Properties
Volume, Å³/atom: 26.60
Theoretical density, g/cm3: 11.3
Total magnetic moment, Bohr magnetons per cell: 0.0


two | LaTbAu4: relaxed, PBE.

a b c (Å): 3.8227 3.8227 9.3724
angles (deg): 90.00 90.00 90.00
With the nearest neighbours (Å) after each atom.
Space group P4/mmm (No. 123)
One atom of each set of equivalent atoms:
La 0.0000 0.0000 0.0000 (multiplicity 1)  10 Au 3.17-3.20
Tb 0.5000 0.5000 0.5000 (multiplicity 1)  10 Au 3.03-3.08
Au 0.0000 0.0000 0.3414 (multiplicity 2)  5 Au 2.97-3.11, 4 Tb 3.08, 1 La 3.20
Au 0.5000 0.5000 0.1763 (multiplicity 2)  1 Tb 3.03, 5 Au 3.11-3.30, 4 La 3.17

Properties
Volume, Å³/atom: 22.83
Theoretical density, g/cm3: 13.2
Total magnetic moment, Bohr magnetons per cell: 0.0


What is the stability order? It is two, one, from most stable to least stable.


one | LaTbAu: relaxed, PBE.

a b c (Å): 8.1566 4.9679 8.5976
angles (deg): 90.00 90.00 90.00
With the nearest neighbours (Å) after each atom.
Space group Pnma (No. 62)
One atom of each set of equivalent atoms:
La 0.0352 0.2500 0.1610 (multiplicity 4)  1 Au 3.05
Tb 0.1425 0.2500 0.5801 (multiplicity 4)  4 Au 2.94-3.01
Au 0.2165 0.7500 0.3950 (multiplicity 4)  4 Tb 2.94-3.01, 1 La 3.05

Properties
Volume, Å³/atom: 29.03
Theoretical density, g/cm3: 9.4
Total magnetic moment, Bohr magnetons per cell: 0.0


two | LaTbAu: relaxed, PBE.

a b c (Å): 4.9257 4.9257 7.4032
angles (deg): 90.00 90.00 90.00
With the nearest neighbours (Å) after each atom.
Space group P4/nmm (No. 129, origin choice 2)
One atom of each set of equivalent atoms:
La 0.2500 0.2500 0.1192 (multiplicity 2)  1 Au 2.94
Tb 0.2500 0.7500 0.5000 (multiplicity 2)  4 Au 2.96
Au 0.2500 0.2500 0.7221 (multiplicity 2)  1 La 2.94, 4 Tb 2.96

Properties
Volume, Å³/atom: 29.94
Theoretical density, g/cm3: 9.1
Total magnetic moment, Bohr magnetons per cell: 0.0


What is the stability order? It is one, two, from most stable to least stable.


one | LaTbAu: relaxed, PBE.

a b c (Å): 4.9669 4.9669 4.0969
angles (deg): 90.00 90.00 120.00
With the nearest neighbours (Å) after each atom.
Space group P3m1 (No. 156)
One atom of each set of equivalent atoms:
La 0.0000 0.0000 0.0000 (multiplicity 1)  3 Au 3.30, 6 Tb 3.47-3.58
Tb 0.3333 0.6667 0.4756 (multiplicity 1)  3 Au 2.91
Au 0.6667 0.3333 0.6009 (multiplicity 1)  3 Tb 2.91

Properties
Volume, Å³/atom: 29.18
Theoretical density, g/cm3: 9.4
Total magnetic moment, Bohr magnetons per cell: 0.0


two | LaTbAu: relaxed, PBE.

a b c (Å): 3.6998 3.6998 12.6898
angles (deg): 90.00 90.00 90.00
With the nearest neighbours (Å) after each atom.
Space group I4mm (No. 107)
One atom of each set of equivalent atoms:
La 0.0000 0.0000 0.0000 (multiplicity 2)  4 Au 3.34, 1 Tb 3.64, 4 La 3.70
Tb 0.0000 0.0000 0.2866 (multiplicity 2)  4 Au 3.04
Au 0.0000 0.0000 0.6640 (multiplicity 2)  4 Tb 3.04, 4 La 3.34

Properties
Volume, Å³/atom: 28.95
Theoretical density, g/cm3: 9.5
Total magnetic moment, Bohr magnetons per cell: 1.3


What is the stability order? It is two, one, from most stable to least stable.


one | LaTbAu: relaxed, PBE.

a b c (Å): 5.0333 12.4274 8.3986
angles (deg): 90.00 90.00 90.00
With the nearest neighbours (Å) after each atom.
Space group Amm2 (No. 38)
One atom of each set of equivalent atoms:
La 0.0000 0.0000 0.0000 (multiplicity 2)  5 Au 3.14-3.24
La 0.0000 0.1938 0.6042 (multiplicity 4)  3 Au 3.09-3.39
Tb 0.5000 0.0000 0.6827 (multiplicity 2)  2 Au 2.95
Tb 0.5000 0.1366 0.2910 (multiplicity 4)  4 Au 2.84-3.11
Au 0.0000 0.0000 0.3733 (multiplicity 2)  3 La 3.09-3.14, 4 Tb 3.11
Au 0.5000 0.1594 0.9428 (multiplicity 4)  3 Tb 2.84-2.95

Properties
Volume, Å³/atom: 29.19
Theoretical density, g/cm3: 9.4
Total magnetic moment, Bohr magnetons per cell: 0.0


two | LaTbAu: relaxed, PBE.

a b c (Å): 7.2350 7.2350 7.2350
angles (deg): 90.00 90.00 90.00
With the nearest neighbours (Å) after each atom.
Space group F-43m (No. 216)
One atom of each set of equivalent atoms:
La 0.0000 0.0000 0.0000 (multiplicity 4)  4 Au 3.13
Tb 0.0000 0.0000 0.5000 (multiplicity 4)  4 Au 3.13
Au 0.2500 0.2500 0.7500 (multiplicity 4)  4 Tb 3.13, 4 La 3.13

Properties
Volume, Å³/atom: 31.56
Theoretical density, g/cm3: 8.7
Total magnetic moment, Bohr magnetons per cell: 0.0


What is the stability order? It is one, two, from most stable to least stable.


one | LaTbTlAu: relaxed, PBE.

a b c (Å): 7.6253 7.6253 7.6253
angles (deg): 90.00 90.00 90.00
With the nearest neighbours (Å) after each atom.
Space group F-43m (No. 216)
One atom of each set of equivalent atoms:
La 0.0000 0.0000 0.0000 (multiplicity 4)  4 Tl 3.30, 4 Au 3.30
Tb 0.0000 0.0000 0.5000 (multiplicity 4)  4 Au 3.30, 4 Tl 3.30
Tl 0.2500 0.2500 0.7500 (multiplicity 4)  4 Tb 3.30, 4 La 3.30
Au 0.2500 0.2500 0.2500 (multiplicity 4)  4 Tb 3.30, 4 La 3.30

Properties
Volume, Å³/atom: 27.71
Theoretical density, g/cm3: 10.5
Total magnetic moment, Bohr magnetons per cell: 0.1


two | LaTbTlAu: relaxed, PBE.

a b c (Å): 3.7071 3.7071 7.9820
angles (deg): 90.00 90.00 90.00
With the nearest neighbours (Å) after each atom.
Space group P4mm (No. 99)
One atom of each set of equivalent atoms:
La 0.0000 0.0000 0.0000 (multiplicity 1)  4 Au 3.36, 4 Tl 3.45, 1 Tb 3.66, 4 La 3.71
Tb 0.0000 0.0000 0.5419 (multiplicity 1)  4 Au 3.05, 4 Tl 3.35
Tl 0.5000 0.5000 0.2815 (multiplicity 1)  4 Tb 3.35, 4 La 3.45, 1 Au 3.63, 4 Tl 3.71
Au 0.5000 0.5000 0.7367 (multiplicity 1)  4 Tb 3.05, 4 La 3.36

Properties
Volume, Å³/atom: 27.42
Theoretical density, g/cm3: 10.6
Total magnetic moment, Bohr magnetons per cell: 0.0


What is the stability order? It is two, one, from most stable to least stable.